[1]
# YMgReHg2, relaxed, DFT PBE
# Spin magnetization in μB/cell: 0.00
# DOS at the Fermi energy in states/eV per atom: 0.44
# Total energy in eV per atom: -3.589
data_YMgReHg2
_space_group_name_H-M_alt 'P 4/m m m'
_space_group_IT_number 123
_space_group_name_Hall '-P 4 2'
_cell_length_a 5.203
_cell_length_b 5.203
_cell_length_c 4.906
_cell_angle_alpha 90.00
_cell_angle_beta 90.00
_cell_angle_gamma 90.00
loop_
_atom_site_label
_atom_site_fract_x
_atom_site_fract_y
_atom_site_fract_z
Y1 0.000 0.000 0.000
Mg1 0.500 0.500 0.000
Re1 0.500 0.500 0.500
Hg1 0.000 0.500 0.500

[2]
# MgHgRh2, relaxed, DFT PBE
# Spin magnetization in μB/cell: 1.08
# DOS at the Fermi energy in states/eV per atom: 1.02
# Total energy in eV per atom: -4.218
data_MgHgRh2
_space_group_name_H-M_alt 'P 4 m m'
_space_group_IT_number 99
_cell_length_a 2.936
_cell_length_b 2.936
_cell_length_c 7.866
_cell_angle_alpha 90.00
_cell_angle_beta 90.00
_cell_angle_gamma 90.00
loop_
_space_group_symop_operation_xyz
'x,y,z'
'-y,x,z'
'-x,-y,z'
'y,-x,z'
'-x,y,z'
'y,x,z'
'x,-y,z'
'-y,-x,z'
loop_
_atom_site_label
_atom_site_fract_x
_atom_site_fract_y
_atom_site_fract_z
Mg1 0.000 0.000 0.000
Hg1 0.500 0.500 0.703
Rh1 0.000 0.000 0.441
Rh2 0.500 0.500 0.225